1.
Compound: Ti2H2Ru
Source: the Alexandria database
Functional: GGA-PBEsol
Structure: optimized geometry

Values from the calculation:
The density of states at the Fermi level comes out at 3.1 states/eV/cell. The symmetry is I4/mmm, No. 139. The total DFT energy (no corrections) is -7.2514 eV/atom.

POSCAR file:
```
Ti2H2Ru
1.0
2.9878 0.0000 0.0000
0.0000 2.9878 0.0000
0.0000 0.0000 11.0375
Ti H Ru
4 4 2
Direct
0.0000 0.0000 0.1413
0.0000 0.0000 0.8587
0.5000 0.5000 0.3587
0.5000 0.5000 0.6413
0.0000 0.5000 0.2500
0.0000 0.5000 0.7500
0.5000 0.0000 0.2500
0.5000 0.0000 0.7500
0.0000 0.0000 0.5000
0.5000 0.5000 0.0000
```

***

2.
Compound: CrRhBr2
Source: the Alexandria database
Functional: GGA-PBEsol
Structure: optimized geometry

Values from the calculation:
The energy above the most stable polymorph in this dataset comes out at 0.00 eV/f.u. The density of states at the Fermi level comes out at 3.1 states/eV/cell. The symmetry is C2/m, No. 12. Its formation energy from raw total energies is 0.067 eV per atom.

POSCAR file:
```
CrRhBr2
1.0
12.6717 0.0000 0.0000
0.0000 3.2648 0.0000
-0.6902 0.0000 4.2216
Cr Rh Br
2 2 4
Direct
0.0000 0.0000 0.0000
0.5000 0.5000 0.0000
0.0000 0.5000 0.5000
0.5000 0.0000 0.5000
0.1450 0.5000 0.2015
0.3550 0.0000 0.7985
0.6450 0.0000 0.2015
0.8550 0.5000 0.7985
```

***

3.
Compound: OsOF5
Source: the Alexandria database
Functional: GGA-PBEsol
Structure: optimized geometry

Values from the calculation:
The symmetry is Pna2_1, No. 33. Its formation energy from raw total energies is -1.562 eV per atom.

POSCAR file:
```
OsOF5
1.0
9.4268 0.0000 0.0000
0.0000 5.0289 0.0000
0.0000 0.0000 8.6694
Os O F
4 4 20
Direct
0.1278 0.0771 0.0000
0.3722 0.5771 0.5000
0.6278 0.4229 0.0000
0.8722 0.9229 0.5000
0.2281 0.9413 0.8592
0.2719 0.4413 0.3592
0.7281 0.5587 0.8592
0.7719 0.0587 0.3592
0.0017 0.2487 0.8671
0.0024 0.7911 0.0143
0.0164 0.2268 0.1589
0.2323 0.3921 0.0135
0.2349 0.9356 0.1617
0.2651 0.4356 0.6617
0.2677 0.8921 0.5135
0.4836 0.7268 0.6589
0.4976 0.2911 0.5143
0.4983 0.7487 0.3671
0.5017 0.2513 0.8671
0.5024 0.7089 0.0143
0.5164 0.2732 0.1589
0.7323 0.1079 0.0135
0.7349 0.5644 0.1617
0.7651 0.0644 0.6617
0.7677 0.6079 0.5135
0.9836 0.7732 0.6589
0.9976 0.2089 0.5143
0.9983 0.7513 0.3671
```

***

4.
Compound: MgZn3
Source: the Alexandria database
Functional: GGA-PBEsol
Structure: optimized geometry

Values from the calculation:
The density of states at the Fermi level comes out at 1.3 states/eV/cell. The symmetry is Pmmm, No. 47. The total DFT energy (no corrections) is -1.6170 eV/atom.

POSCAR file:
```
MgZn3
1.0
2.8877 0.0000 0.0000
0.0000 3.8623 0.0000
0.0000 0.0000 5.6502
Mg Zn
1 3
Direct
0.0000 0.0000 0.0000
0.0000 0.0000 0.5000
0.5000 0.5000 0.2653
0.5000 0.5000 0.7347
```

***

5.
Compound: SmMgCu4
Source: the Alexandria database
Functional: GGA-PBEsol
Structure: optimized geometry

Values from the calculation:
The density of states at the Fermi level comes out at 2.6 states/eV/cell. The symmetry is F-43m, No. 216. The total DFT energy (no corrections) is -4.2296 eV/atom.

POSCAR file:
```
SmMgCu4
1.0
0.0000 3.5734 3.5734
3.5734 0.0000 3.5734
3.5734 3.5734 0.0000
Sm Mg Cu
1 1 4
Direct
0.0000 0.0000 0.0000
0.2500 0.2500 0.2500
0.1300 0.6233 0.6233
0.6233 0.1300 0.6233
0.6233 0.6233 0.1300
0.6233 0.6233 0.6233
```

***

6.
Compound: LaAl3
Source: the Alexandria database
Functional: GGA-PBEsol
Structure: optimized geometry

Values from the calculation:
The density of states at the Fermi level comes out at 8.0 states/eV/cell. The symmetry is Pm-3n, No. 223. The total DFT energy (no corrections) is -4.3980 eV/atom.

POSCAR file:
```
LaAl3
1.0
5.6190 0.0000 0.0000
0.0000 5.6190 0.0000
0.0000 0.0000 5.6190
La Al
2 6
Direct
0.0000 0.0000 0.0000
0.5000 0.5000 0.5000
0.0000 0.2500 0.5000
0.0000 0.7500 0.5000
0.2500 0.5000 0.0000
0.5000 0.0000 0.2500
0.5000 0.0000 0.7500
0.7500 0.5000 0.0000
```

***

7.
Compound: CoPSe2
Source: the Alexandria database
Functional: GGA-PBEsol
Structure: optimized geometry

Values from the calculation:
The density of states at the Fermi level comes out at 6.3 states/eV/cell. The symmetry is Immm, No. 71. Its formation energy from raw total energies is 0.006 eV per atom.

POSCAR file:
```
CoPSe2
1.0
3.3271 0.0000 0.0000
0.0000 3.5219 0.0000
0.0000 0.0000 11.7929
Co P Se
2 2 4
Direct
0.0000 0.0000 0.0000
0.5000 0.5000 0.5000
0.0000 0.0000 0.5000
0.5000 0.5000 0.0000
0.0000 0.5000 0.3492
0.0000 0.5000 0.6508
0.5000 0.0000 0.1508
0.5000 0.0000 0.8492
```

***

8.
Compound: K2BICl
Source: the Alexandria database
Functional: GGA-PBEsol
Structure: optimized geometry

Values from the calculation:
The density of states at the Fermi level comes out at 2.6 states/eV/cell. The symmetry is P4/mmm, No. 123. Its formation energy from raw total energies is -0.160 eV per atom.

POSCAR file:
```
K2BICl
1.0
5.9279 0.0000 0.0000
0.0000 5.9279 0.0000
0.0000 0.0000 4.6030
K B I Cl
2 1 1 1
Direct
0.0000 0.5000 0.0000
0.5000 0.0000 0.0000
0.0000 0.0000 0.0000
0.0000 0.0000 0.5000
0.5000 0.5000 0.5000
```

***

9.
Compound: AlPS4
Source: the Alexandria database
Functional: GGA-PBEsol
Structure: optimized geometry

Values from the calculation:
The density of states at the Fermi level comes out at 0.0 states/eV/cell. The symmetry is I222, No. 23. Its formation energy from raw total energies is -0.565 eV per atom.

POSCAR file:
```
AlPS4
1.0
5.6637 0.0000 0.0000
0.0000 6.1648 0.0000
0.0000 0.0000 8.6149
Al P S
2 2 8
Direct
0.0000 0.0000 0.0000
0.5000 0.5000 0.5000
0.0000 0.5000 0.5000
0.5000 0.0000 0.0000
0.2232 0.3100 0.3691
0.2232 0.6900 0.6309
0.2768 0.1900 0.8691
0.2768 0.8100 0.1309
0.7232 0.1900 0.1309
0.7232 0.8100 0.8691
0.7768 0.3100 0.6309
0.7768 0.6900 0.3691
```

***

10.
Compound: Y2TlSe
Source: the Alexandria database
Functional: GGA-PBEsol
Structure: optimized geometry

Values from the calculation:
The energy above the most stable polymorph in this dataset comes out at 0.00 eV/f.u. The density of states at the Fermi level comes out at 6.3 states/eV/cell. The symmetry is R-3m, No. 166. Its formation energy from raw total energies is -1.152 eV per atom.

POSCAR file:
```
Y2TlSe
1.0
3.9097 0.0000 0.0000
-1.9548 3.3859 0.0000
0.0000 0.0000 23.2639
Y Tl Se
6 3 3
Direct
0.0000 0.0000 0.2399
0.0000 0.0000 0.7601
0.3333 0.6667 0.4267
0.3333 0.6667 0.9066
0.6667 0.3333 0.0934
0.6667 0.3333 0.5733
0.0000 0.0000 0.0000
0.3333 0.6667 0.6667
0.6667 0.3333 0.3333
0.0000 0.0000 0.5000
0.3333 0.6667 0.1667
0.6667 0.3333 0.8333
```

***

11.
Compound: Mg3Tl2
Source: the Alexandria database
Functional: GGA-PBEsol
Structure: optimized geometry

Values from the calculation:
The energy above the most stable polymorph in this dataset comes out at 0.00 eV/f.u. The density of states at the Fermi level comes out at 6.2 states/eV/cell. The symmetry is R-3m, No. 166.

POSCAR file:
```
Mg3Tl2
1.0
3.3417 0.0000 0.0000
-1.6709 2.8940 0.0000
0.0000 0.0000 37.0860
Mg Tl
9 6
Direct
0.0000 0.0000 0.0000
0.0000 0.0000 0.2005
0.0000 0.0000 0.7995
0.3333 0.6667 0.4661
0.3333 0.6667 0.6667
0.3333 0.6667 0.8672
0.6667 0.3333 0.1328
0.6667 0.3333 0.3333
0.6667 0.3333 0.5339
0.0000 0.0000 0.3994
0.0000 0.0000 0.6006
0.3333 0.6667 0.0661
0.3333 0.6667 0.2673
0.6667 0.3333 0.7327
0.6667 0.3333 0.9339
```

***

12.
Compound: LaCeAl2O6
Source: the Alexandria database
Functional: GGA-PBEsol
Structure: optimized geometry

Values from the calculation:
The energy above the most stable polymorph in this dataset comes out at 0.03 eV/f.u. The density of states at the Fermi level comes out at 7.9 states/eV/cell. The symmetry is P4/mmm, No. 123. Its formation energy from raw total energies is -3.300 eV per atom.

POSCAR file:
```
LaCeAl2O6
1.0
3.7555 0.0000 0.0000
0.0000 3.7555 0.0000
0.0000 0.0000 7.5230
La Ce Al O
1 1 2 6
Direct
0.0000 0.0000 0.0000
0.0000 0.0000 0.5000
0.5000 0.5000 0.2512
0.5000 0.5000 0.7488
0.0000 0.5000 0.2515
0.0000 0.5000 0.7485
0.5000 0.0000 0.2515
0.5000 0.0000 0.7485
0.5000 0.5000 0.0000
0.5000 0.5000 0.5000
```

***

Which total magnetization belongs to each record? In order, 0.000; 0.778; 0.143; 0.000; 0.000; 0.000; 0.001; 0.000; 0.000; 0.000; 0.000; 0.100 μB/atom.